1 | NaDyY2 PBE relaxed; SG = No. 166
1.0
-3.377 -0.537 0.798
-0.884 -2.503 2.299
-0.512 7.390 10.532
Y Na Dy
2 1 1
Cartesian
-0.763 5.068 7.907
-4.011 -0.718 5.722
0.000 0.000 0.000
-2.387 2.175 6.815

***

2 | NaDyY2 PBE relaxed; SG = No. 123
1.0
-0.905 -2.788 2.016
2.217 -2.067 -1.863
7.753 2.304 6.668
Na Y Dy
1 2 1
Cartesian
4.532 -1.275 3.410
5.965 1.773 5.130
1.787 0.531 1.537
0.656 -2.427 0.077

***

Among the structures above, stability is greatest for 2.